1.
# Pr2Zn5Ag3

Crystalline Pr2Zn5Ag3 at its relaxed geometry (PBE, Alexandria).

Cell: 10.629 13.348 5.784 Å, 90.00 90.00 90.00°
Space group Ibam (No. 72)
Asymmetric unit:
Pr (0.224, 0.134, 0.000) [8 per cell]
Zn (0.000, 0.000, 0.250) [4 per cell]
Zn (0.000, 0.298, 0.250) [8 per cell]
Zn (0.167, 0.398, 0.000) [8 per cell]
Ag (0.000, 0.500, 0.250) [4 per cell]
Ag (0.094, 0.149, 0.500) [8 per cell]

Properties
Magnetic moment (μB/f.u.): 0.00
DFT formation energy (meV/atom): -246
Raw total energy (eV per atom): -2.69
Density of states at the Fermi level (states/eV/cell): 20.85


2.
# Pr2Zn4Ag

Crystalline Pr2Zn4Ag at its relaxed geometry (PBE, Alexandria).

Cell: 5.949 6.035 8.710 Å, 90.00 104.40 90.00°
Space group P2_1/m (No. 11)
Asymmetric unit:
Pr (0.119, 0.250, 0.409) [2 per cell]
Pr (0.266, 0.750, 0.026) [2 per cell]
Zn (0.276, 0.250, 0.100) [2 per cell]
Zn (0.312, 0.750, 0.407) [2 per cell]
Zn (0.415, 0.533, 0.691) [4 per cell]
Ag (0.129, 0.250, 0.786) [2 per cell]

Properties
Magnetic moment (μB/f.u.): 0.00
DFT formation energy (meV/atom): -284
Raw total energy (eV per atom): -2.79
Density of states at the Fermi level (states/eV/cell): 10.66


3.
# Pr4Zn5Ag

Crystalline Pr4Zn5Ag at its relaxed geometry (PBE, Alexandria).

Cell: 3.641 3.641 17.947 Å, 90.00 90.00 90.00°
Space group P4/mmm (No. 123)
Asymmetric unit:
Pr (0.000, 0.000, 0.106) [2 per cell]
Pr (0.000, 0.000, 0.314) [2 per cell]
Zn (0.500, 0.500, 0.000) [1 per cell]
Zn (0.500, 0.500, 0.209) [2 per cell]
Zn (0.500, 0.500, 0.424) [2 per cell]
Ag (0.000, 0.000, 0.500) [1 per cell]

Properties
Magnetic moment (μB/f.u.): 0.00
DFT formation energy (meV/atom): -229
Raw total energy (eV per atom): -3.06
Density of states at the Fermi level (states/eV/cell): 9.41


4.
# Pr2Zn15Ag2

Crystalline Pr2Zn15Ag2 at its relaxed geometry (PBE, Alexandria).

Cell: 9.1391 9.1391 13.3811 Å, 90.00 90.00 120.00°
Space group R-3m (No. 166, hexagonal axes)
Asymmetric unit:
Pr (0.0000, 0.0000, 0.1590) [6 per cell]
Zn (0.0000, 0.2927, 0.5000) [18 per cell]
Zn (0.0000, 0.5000, 0.0000) [9 per cell]
Zn (0.0081, 0.5040, 0.6532) [18 per cell]
Ag (0.0000, 0.0000, 0.3947) [6 per cell]

Properties
Magnetic moment (μB/f.u.): 0.00
DFT formation energy (meV/atom): -248
Raw total energy (eV per atom): -2.06
Density of states at the Fermi level (states/eV/cell): 20.50